[1]
A plane-wave DFT calculation with GGA-PBE was carried out for IrOsRh2 after structural relaxation.

Geometry as POSCAR:
```
IrOsRh2
1.0
1.3438 -2.3247 0.0000
1.3438 2.3247 0.0000
0.0000 0.0000 9.4189
Rh Os Ir
2 1 1
Cartesian
0.0000 0.0000 7.0729
0.0000 0.0000 2.3461
1.3438 0.0000 0.0000
1.3438 0.0000 4.7095
```

- density of states at the Fermi level (states/eV/cell) = 6.58
- mass density (g cm⁻³) = 16.60
- space-group type = Cmmm
- E above lowest polymorph (eV/atom) = 0.338


[2]
A plane-wave DFT calculation with GGA-PBE was carried out for IrOs2Rh after structural relaxation.

Geometry as POSCAR:
```
IrOs2Rh
1.0
2.7142 0.0000 0.0000
0.0000 3.8978 0.0000
0.0000 0.0000 5.4122
Ir Rh Os
1 1 2
Cartesian
1.3571 1.9489 4.0592
1.3571 1.9489 1.3531
0.0000 0.0000 2.7043
0.0000 0.0000 0.0018
```

- density of states at the Fermi level (states/eV/cell) = 3.86
- mass density (g cm⁻³) = 19.59
- space-group type = Pmmm
- E above lowest polymorph (eV/atom) = 0.039


[3]
A plane-wave DFT calculation with GGA-PBE was carried out for Ir6OsRh5 after structural relaxation.

Geometry as POSCAR:
```
Ir6OsRh5
1.0
-2.0247 -1.4132 -2.9595
4.0334 -5.4955 2.3701
-4.8487 1.3765 5.1654
Rh Ir Os
5 6 1
Cartesian
-4.4025 -0.4586 3.2267
1.0457 -3.1839 3.3104
-1.8610 -0.9351 4.2252
-1.4200 -2.7661 2.2881
1.5625 -5.0736 1.3494
-1.7111 -2.0679 -0.3536
-3.6156 -3.0156 3.9061
-2.1836 -0.2272 1.6013
0.7756 -2.5166 0.6700
-1.1289 -3.4644 4.9297
-0.6564 -5.3050 2.9748
0.0000 0.0000 0.0000
```

- density of states at the Fermi level (states/eV/cell) = 12.27
- mass density (g cm⁻³) = 17.92
- space-group type = Immm


[4]
A plane-wave DFT calculation with GGA-PBE was carried out for Ir3OsRh2 after structural relaxation.

Geometry as POSCAR:
```
Ir3OsRh2
1.0
2.7264 0.0000 0.0000
0.0000 7.7115 -0.0087
0.0000 0.0073 8.1929
Rh Ir Os
4 6 2
Cartesian
2.0448 0.9548 7.4999
2.0448 4.8367 4.8040
0.6816 2.8822 3.3802
0.6816 6.7640 0.6843
0.6816 6.7602 3.4013
0.6816 2.8918 6.1532
2.0448 0.9586 4.7829
0.6816 2.8759 0.7124
2.0448 4.8429 7.4718
2.0448 4.8270 2.0310
2.0448 0.9710 2.0624
0.6816 6.7478 6.1217
```

- density of states at the Fermi level (states/eV/cell) = 8.89
- mass density (g cm⁻³) = 18.75
- space-group type = P2_1/m
- E above lowest polymorph (eV/atom) = 0.000


[5]
A plane-wave DFT calculation with GGA-PBE was carried out for IrOsRh2 after structural relaxation.

Geometry as POSCAR:
```
IrOsRh2
1.0
-3.9738 -1.7348 0.5535
-0.4234 -3.9683 1.7834
-1.6594 -0.4226 4.0227
Rh Ir Os
2 1 1
Cartesian
-1.6592 -0.4242 4.0191
-1.5139 -1.5331 1.5862
-4.5426 -4.5933 4.7719
-3.0286 -3.0604 3.1850
```

- density of states at the Fermi level (states/eV/cell) = 5.39
- mass density (g cm⁻³) = 16.54
- space-group type = R3m
- E above lowest polymorph (eV/atom) = 0.490


[6]
A plane-wave DFT calculation with GGA-PBE was carried out for IrOs4Rh after structural relaxation.

Geometry as POSCAR:
```
IrOs4Rh
1.0
-3.5064 0.8204 -1.4184
-3.2805 -3.5112 6.0791
0.0014 5.3506 3.0912
Os Rh Ir
8 2 2
Cartesian
-4.2122 3.0914 6.9206
0.0000 0.0000 0.0000
-2.5733 -0.4317 0.8314
-3.4033 0.2619 3.2844
-5.0230 -1.4716 6.2858
-1.6403 -1.7556 3.0395
-1.7625 4.1313 1.4661
-3.3822 2.3977 4.4675
-2.4594 1.1046 6.7189
-0.8197 0.7347 2.4514
-0.8191 2.9187 3.7132
-2.4600 -1.0794 5.4571
```

- density of states at the Fermi level (states/eV/cell) = 13.54
- mass density (g cm⁻³) = 18.92
- space-group type = Pmma
- E above lowest polymorph (eV/atom) = 0.325


[7]
A plane-wave DFT calculation with GGA-PBE was carried out for IrOs2Rh after structural relaxation.

Geometry as POSCAR:
```
IrOs2Rh
1.0
9.0413 -0.0078 -0.0046
8.6317 2.6904 -0.0046
8.6317 1.3102 2.3498
Rh Os Ir
1 2 1
Cartesian
6.5762 0.9982 0.5852
13.1493 1.9960 1.1701
0.0031 0.0005 0.0003
19.7286 2.9946 1.7555
```

- density of states at the Fermi level (states/eV/cell) = 4.76
- mass density (g cm⁻³) = 19.53
- space-group type = R-3m
- E above lowest polymorph (eV/atom) = 0.058


[8]
A plane-wave DFT calculation with GGA-PBE was carried out for IrOsRh2 after structural relaxation.

Geometry as POSCAR:
```
IrOsRh2
1.0
4.7236 0.0000 -1.4091
-0.0003 2.6482 -0.0010
-0.9886 -0.0003 5.3085
Rh Os Ir
2 1 1
Cartesian
0.0055 1.9848 0.0183
1.3673 1.9873 4.5842
3.0482 1.9860 1.5967
0.6865 0.6619 2.3018
```

- density of states at the Fermi level (states/eV/cell) = 4.70
- mass density (g cm⁻³) = 15.58
- space-group type = Cmmm
- E above lowest polymorph (eV/atom) = 0.666


[9]
A plane-wave DFT calculation with GGA-PBE was carried out for Ir2OsRh after structural relaxation.

Geometry as POSCAR:
```
Ir2OsRh
1.0
-1.2342 -2.4257 0.1404
1.9020 -0.8666 1.7488
-4.3004 2.5315 5.9316
Ir Rh Os
2 1 1
Cartesian
-0.7587 -1.0030 2.4516
-0.0045 0.0026 0.0061
-2.8733 0.2418 5.3683
-2.1464 1.2635 2.9605
```

- density of states at the Fermi level (states/eV/cell) = 4.30
- mass density (g cm⁻³) = 19.54
- space-group type = P4mm
- E above lowest polymorph (eV/atom) = 0.037


[10]
A plane-wave DFT calculation with GGA-PBE was carried out for IrOs2Rh6 after structural relaxation.

Geometry as POSCAR:
```
IrOs2Rh6
1.0
3.8386 0.0000 0.0000
-1.9193 4.1340 1.1712
0.0000 0.3461 8.1647
Os Ir Rh
2 1 6
Cartesian
1.9193 1.7183 8.1347
0.0000 2.7618 1.2012
0.0000 0.1730 4.0824
0.0000 0.0755 1.3587
1.9193 1.4846 2.6214
1.9193 4.4046 7.9772
1.9193 1.6138 5.3889
0.0000 2.8663 3.9470
0.0000 2.9955 6.7145
```

- density of states at the Fermi level (states/eV/cell) = 10.10
- mass density (g cm⁻³) = 15.44
- space-group type = C2/m
- E above lowest polymorph (eV/atom) = 0.017


[11]
A plane-wave DFT calculation with GGA-PBE was carried out for IrOsRh2 after structural relaxation.

Geometry as POSCAR:
```
IrOsRh2
1.0
4.7049 0.0000 0.0000
0.0000 2.6886 0.0032
0.0000 0.0221 4.6515
Rh Ir Os
2 1 1
Cartesian
0.0000 0.7027 3.4863
0.0000 2.0080 1.1685
2.3525 0.0000 0.0000
2.3525 1.3554 2.3274
```

- density of states at the Fermi level (states/eV/cell) = 4.75
- mass density (g cm⁻³) = 16.60
- space-group type = P2/m
- E above lowest polymorph (eV/atom) = 0.340


[12]
A plane-wave DFT calculation with GGA-PBE was carried out for Ir4Os3Rh12 after structural relaxation.

Geometry as POSCAR:
```
Ir4Os3Rh12
1.0
-4.1303 6.4804 -2.1626
-4.4488 -6.5174 -1.2097
1.9102 0.5202 7.7338
Os Ir Rh
3 4 12
Cartesian
-1.1101 3.5003 2.7856
-1.2693 -2.9986 3.2621
-4.2896 -0.0185 -1.6862
-2.0651 3.2402 -1.0813
-3.3345 0.2416 2.1808
0.9551 0.2601 3.8669
-2.2244 -3.2587 -0.6049
-0.5181 2.0816 4.8042
-3.7615 -1.5881 0.4965
-3.0536 2.5157 1.1243
-1.4988 -0.3253 3.8164
-6.1508 -1.5984 -0.4427
-3.6154 -2.0325 3.2372
-2.9075 2.0713 3.8650
-3.6719 4.4654 2.6759
-4.4632 2.4787 -1.2719
-2.2058 -1.9955 5.6335
-2.9970 -3.9822 1.6856
-5.1702 0.8085 0.5451
```

- density of states at the Fermi level (states/eV/cell) = 24.78
- mass density (g cm⁻³) = 10.91
- space-group type = Im-3


Number 1: M_tot 0.0 μB per formula unit, final energy -8.352 eV per atom. Number 2: M_tot 0.0 μB per formula unit, final energy -9.582 eV per atom. Number 3: M_tot 0.0 μB per formula unit, final energy -8.436 eV per atom. Number 4: M_tot 0.0 μB per formula unit, final energy -8.759 eV per atom. Number 5: M_tot 2.1 μB per formula unit, final energy -8.200 eV per atom. Number 6: M_tot 0.0 μB per formula unit, final energy -9.780 eV per atom. Number 7: M_tot 0.0 μB per formula unit, final energy -9.563 eV per atom. Number 8: M_tot 0.3 μB per formula unit, final energy -8.024 eV per atom. Number 9: M_tot 0.0 μB per formula unit, final energy -9.047 eV per atom. Number 10: M_tot 0.0 μB per formula unit, final energy -8.352 eV per atom. Number 11: M_tot 0.0 μB per formula unit, final energy -8.350 eV per atom. Number 12: M_tot 0.0 μB per formula unit, final energy -7.457 eV per atom.